A plane-wave DFT calculation with PBE was carried out for a relaxed structure of CaLaRe2.

Cell lengths 2.8871, 4.9186, 6.3990 Å; angles 90.00, 90.00, 90.00 degrees
Fractional positions:
Re (0.0000, 0.0000, 0.0662)
Re (0.0000, 0.0000, 0.4338)
Ca (0.5000, 0.5000, 0.2500)
La (0.5000, 0.5000, 0.7500)

Results
E_form   0.70 eV per atom
Total magnetization   0.0 μB/cell